1.
Density functional theory data (GGA-PBEsol) for an optimized crystal structure of HfMnI3.

a b c (Å): 5.579 5.579 5.579
angles (deg): 90.00 90.00 90.00
Space group Pm-3m (No. 221)
Unique sites:
Hf  0.000  0.000  0.000 x1
Mn  0.500  0.500  0.500 x1
I  0.000  0.000  0.500 x3

Values from the calculation:
E above lowest polymorph in eV/f.u.: 0.00
Size of the total moment in μB/f.u.: 5.09
E_form (uncorrected) in meV/atom: 330



2.
Density functional theory data (GGA-PBEsol) for an optimized crystal structure of HfMnIN2.

a b c (Å): 4.102 4.102 5.784
angles (deg): 90.00 90.00 90.00
Space group P4/mmm (No. 123)
Unique sites:
Hf  0.000  0.000  0.000 x1
Mn  0.500  0.500  0.500 x1
I  0.000  0.000  0.500 x1
N  0.000  0.500  0.000 x2

Values from the calculation:
Size of the total moment in μB/f.u.: 5.18
E_form (uncorrected) in meV/atom: 471



no.,final energy (eV per cell)
1,-23.92
2,-36.73